Ti2VP3O12 | GGA+U | relaxed Values from VASP.

Values from the calculation:
volume = 12.69 Å³/atom
space-group type = R-3c
D(E_F) = 0.22 states/eV/atom
uncorrected energy = -0.2923 hartree per atom

```
&SYSTEM
  ibrav = 0, nat = 36, ntyp = 4
/
ATOMIC_SPECIES
O 16.00 O.upf
Ti 47.87 Ti.upf
P 30.97 P.upf
V 50.94 V.upf
ATOMIC_POSITIONS angstrom
O -0.3796 -10.2028 3.1293
O 2.2504 -12.0087 0.5825
O 1.8336 -12.7239 -1.8127
O 7.1018 -10.7167 1.8070
O 4.7307 -11.2286 1.0732
O 3.5124 -8.0266 2.1406
O 0.0136 -11.5938 -0.3949
O -1.3389 -9.3186 0.9162
O 3.3697 -5.8065 0.4854
O 2.3932 -14.2287 2.2378
O 3.9292 -7.3113 4.5359
O 2.7647 -8.5784 -0.3367
O 4.5164 -13.8818 0.2966
O 4.5075 -8.0466 -2.0981
O 1.2465 -6.1534 2.4265
O 2.8898 -10.0230 5.0755
O 1.0322 -8.8067 1.6500
O 0.7450 -6.6789 -0.3786
O 5.0178 -13.3563 3.1017
O 2.8730 -10.0123 -2.3524
O 2.9982 -11.4569 3.0599
O 5.7492 -8.4414 3.1180
O 1.2553 -11.9886 4.8212
O 6.1425 -9.8325 -0.4062
Ti 4.9281 -17.1332 2.3287
Ti 0.8347 -2.9020 0.3944
Ti 3.7162 -12.9197 1.7560
Ti 2.0467 -7.1156 0.9671
P 6.1902 -11.0106 0.5812
P -0.4274 -9.0247 2.1420
P 3.0600 -8.5661 -1.8640
P 1.1920 -12.5820 -0.4028
P 2.7028 -11.4692 4.5871
P 4.5709 -7.4533 3.1259
V 0.0000 0.0000 0.0000
V 2.8814 -10.0176 1.3616
CELL_PARAMETERS angstrom
-2.6495 -8.1822 -0.4839
5.5233 -6.1089 -2.5253
2.8890 -5.7442 5.7323
```